[1]
# PBE-GGA Sr2TcRhO6, relaxed
# symmetry: No. 166
# crystal system: trigonal
# uncorrected formation energy: -18.22 eV/f.u.
# volume: 265.99 Å³/cell
# D(E_F): 8.33 states/eV/cell
data_Sr2TcRhO6
_chemical_formula_sum 'Sr4 Tc2 Rh2 O12'
_cell_length_a 10.0789
_cell_length_b 10.0789
_cell_length_c 10.0789
_cell_angle_alpha 32.71
_cell_angle_beta 32.71
_cell_angle_gamma 32.71
_space_group_name_H-M_alt 'P 1'
_space_group_IT_number 1
loop_
_space_group_symop_operation_xyz
'x,y,z'
loop_
_atom_site_label
_atom_site_fract_x
_atom_site_fract_y
_atom_site_fract_z
_atom_site_occupancy
Sr1 0.1220 0.1220 0.1220 1
Sr2 0.2851 0.2851 0.2851 1
Sr3 0.7149 0.7149 0.7149 1
Sr4 0.8780 0.8780 0.8780 1
Tc1 0.0000 0.0000 0.0000 1
Tc2 0.5000 0.5000 0.5000 1
Rh1 0.4119 0.4119 0.4119 1
Rh2 0.5881 0.5881 0.5881 1
O1 0.1318 0.6191 0.6191 1
O2 0.2014 0.2014 0.7192 1
O3 0.2014 0.7192 0.2014 1
O4 0.2808 0.7986 0.7986 1
O5 0.3809 0.3809 0.8682 1
O6 0.3809 0.8682 0.3809 1
O7 0.6191 0.1318 0.6191 1
O8 0.6191 0.6191 0.1318 1
O9 0.7192 0.2014 0.2014 1
O10 0.7986 0.2808 0.7986 1
O11 0.7986 0.7986 0.2808 1
O12 0.8682 0.3809 0.3809 1

[2]
# PBE-GGA PaTi2, relaxed
# calculated formation energy: 76 meV per atom
# symmetry: No. 12
# crystal system: monoclinic
# volume: 58.00 Å³/cell
# D(E_F): 4.40 states/eV/cell
data_PaTi2
_chemical_formula_sum 'Pa1 Ti2'
_cell_length_a 4.6160
_cell_length_b 4.6160
_cell_length_c 3.0077
_cell_angle_alpha 96.84
_cell_angle_beta 96.84
_cell_angle_gamma 66.10
_space_group_name_H-M_alt 'P 1'
_space_group_IT_number 1
loop_
_space_group_symop_operation_xyz
'x,y,z'
loop_
_atom_site_label
_atom_site_fract_x
_atom_site_fract_y
_atom_site_fract_z
_atom_site_occupancy
Pa1 0.0000 0.0000 0.0000 1
Ti1 0.3306 0.3306 0.6543 1
Ti2 0.6694 0.6694 0.3457 1

[3]
# PBE-GGA NaInAg2, relaxed
# calculated formation energy: 12 meV per atom
# symmetry: No. 11
# crystal system: monoclinic
# volume: 182.64 Å³/cell
# D(E_F): 3.23 states/eV/cell
data_NaInAg2
_chemical_formula_sum 'Na2 In2 Ag4'
_cell_length_a 5.1066
_cell_length_b 7.9797
_cell_length_c 5.1237
_cell_angle_alpha 90.00
_cell_angle_beta 118.98
_cell_angle_gamma 90.00
_space_group_name_H-M_alt 'P 1'
_space_group_IT_number 1
loop_
_space_group_symop_operation_xyz
'x,y,z'
loop_
_atom_site_label
_atom_site_fract_x
_atom_site_fract_y
_atom_site_fract_z
_atom_site_occupancy
Na1 0.0527 0.2500 0.4460 1
Na2 0.9473 0.7500 0.5540 1
In1 0.3915 0.2500 0.1051 1
In2 0.6085 0.7500 0.8949 1
Ag1 0.2878 0.5785 0.2129 1
Ag2 0.2878 0.9215 0.2129 1
Ag3 0.7122 0.0785 0.7871 1
Ag4 0.7122 0.4215 0.7871 1

[4]
# PBE-GGA K2PuPbCl8, relaxed
# symmetry: No. 10
# crystal system: monoclinic
# uncorrected formation energy: -19.67 eV/f.u.
# volume: 429.25 Å³/cell
# D(E_F): 2.79 states/eV/cell
data_K2PuPbCl8
_chemical_formula_sum 'K2 Pu1 Pb1 Cl8'
_cell_length_a 6.8256
_cell_length_b 8.8429
_cell_length_c 7.1186
_cell_angle_alpha 90.00
_cell_angle_beta 92.54
_cell_angle_gamma 90.00
_space_group_name_H-M_alt 'P 1'
_space_group_IT_number 1
loop_
_space_group_symop_operation_xyz
'x,y,z'
loop_
_atom_site_label
_atom_site_fract_x
_atom_site_fract_y
_atom_site_fract_z
_atom_site_occupancy
K1 0.0000 0.2476 0.0000 1
K2 0.0000 0.7524 0.0000 1
Pu1 0.5000 0.5000 0.5000 1
Pb1 0.5000 0.0000 0.5000 1
Cl1 0.2433 0.0000 0.1860 1
Cl2 0.2723 0.5000 0.2001 1
Cl3 0.2919 0.2805 0.6408 1
Cl4 0.2919 0.7195 0.6408 1
Cl5 0.7081 0.2805 0.3592 1
Cl6 0.7081 0.7195 0.3592 1
Cl7 0.7277 0.5000 0.7999 1
Cl8 0.7567 0.0000 0.8140 1

[5]
# PBE-GGA Y2Fe2Ir, relaxed
# calculated formation energy: -175 meV per atom
# symmetry: No. 127
# crystal system: tetragonal
# volume: 184.59 Å³/cell
# D(E_F): 8.45 states/eV/cell
data_Y2Fe2Ir
_chemical_formula_sum 'Y4 Fe4 Ir2'
_cell_length_a 6.5486
_cell_length_b 6.5486
_cell_length_c 4.3043
_cell_angle_alpha 90.00
_cell_angle_beta 90.00
_cell_angle_gamma 90.00
_space_group_name_H-M_alt 'P 1'
_space_group_IT_number 1
loop_
_space_group_symop_operation_xyz
'x,y,z'
loop_
_atom_site_label
_atom_site_fract_x
_atom_site_fract_y
_atom_site_fract_z
_atom_site_occupancy
Y1 0.1840 0.3160 0.0000 1
Y2 0.3160 0.8160 0.0000 1
Y3 0.6840 0.1840 0.0000 1
Y4 0.8160 0.6840 0.0000 1
Fe1 0.1214 0.6214 0.5000 1
Fe2 0.3786 0.1214 0.5000 1
Fe3 0.6214 0.8786 0.5000 1
Fe4 0.8786 0.3786 0.5000 1
Ir1 0.0000 0.0000 0.5000 1
Ir2 0.5000 0.5000 0.5000 1

[6]
# PBE-GGA Cs2ErAsS4, relaxed
# symmetry: No. 70
# crystal system: orthorhombic
# uncorrected formation energy: -8.49 eV/f.u.
# volume: 624.43 Å³/cell
# D(E_F): 0.00 states/eV/cell
data_Cs2ErAsS4
_chemical_formula_sum 'Cs4 Er2 As2 S8'
_cell_length_a 14.7224
_cell_length_b 13.1722
_cell_length_c 8.0836
_cell_angle_alpha 84.04
_cell_angle_beta 62.86
_cell_angle_gamma 33.10
_space_group_name_H-M_alt 'P 1'
_space_group_IT_number 1
loop_
_space_group_symop_operation_xyz
'x,y,z'
loop_
_atom_site_label
_atom_site_fract_x
_atom_site_fract_y
_atom_site_fract_z
_atom_site_occupancy
Cs1 0.0548 0.0548 0.6952 1
Cs2 0.3048 0.3048 0.9452 1
Cs3 0.6952 0.6952 0.0548 1
Cs4 0.9452 0.9452 0.3048 1
Er1 0.1250 0.1250 0.1250 1
Er2 0.8750 0.8750 0.8750 1
As1 0.3750 0.3750 0.3750 1
As2 0.6250 0.6250 0.6250 1
S1 0.0128 0.3376 0.4266 1
S2 0.2770 0.5734 0.6624 1
S3 0.3376 0.0128 0.7230 1
S4 0.4266 0.7230 0.0128 1
S5 0.5734 0.2770 0.9872 1
S6 0.6624 0.9872 0.2770 1
S7 0.7230 0.4266 0.3376 1
S8 0.9872 0.6624 0.5734 1

[7]
# PBE-GGA P3N4Cl5, relaxed
# symmetry: No. 2
# crystal system: triclinic
# uncorrected formation energy: -2.48 eV/f.u.
# volume: 650.58 Å³/cell
data_P3N4Cl5
_chemical_formula_sum 'P6 N8 Cl10'
_cell_length_a 6.4927
_cell_length_b 9.0403
_cell_length_c 11.8305
_cell_angle_alpha 75.77
_cell_angle_beta 76.44
_cell_angle_gamma 80.91
_space_group_name_H-M_alt 'P 1'
_space_group_IT_number 1
loop_
_space_group_symop_operation_xyz
'x,y,z'
loop_
_atom_site_label
_atom_site_fract_x
_atom_site_fract_y
_atom_site_fract_z
_atom_site_occupancy
P1 0.0501 0.2795 0.4129 1
P2 0.2567 0.4756 0.2116 1
P3 0.3066 0.1619 0.2238 1
P4 0.6934 0.8381 0.7762 1
P5 0.7433 0.5244 0.7884 1
P6 0.9499 0.7205 0.5871 1
N1 0.0993 0.4488 0.3394 1
N2 0.1377 0.1389 0.3477 1
N3 0.1496 0.2421 0.5377 1
N4 0.3626 0.3305 0.1566 1
N5 0.6374 0.6695 0.8434 1
N6 0.8504 0.7579 0.4623 1
N7 0.8623 0.8611 0.6523 1
N8 0.9007 0.5512 0.6606 1
Cl1 0.0993 0.6239 0.0952 1
Cl2 0.2032 0.0661 0.1131 1
Cl3 0.2653 0.7233 0.5249 1
Cl4 0.4222 0.9731 0.7531 1
Cl5 0.4887 0.5958 0.2158 1
Cl6 0.5113 0.4042 0.7842 1
Cl7 0.5778 0.0269 0.2469 1
Cl8 0.7347 0.2767 0.4751 1
Cl9 0.7968 0.9339 0.8869 1
Cl10 0.9007 0.3761 0.9048 1

[8]
# PBE-GGA InSi2P, relaxed
# symmetry: No. 123
# crystal system: tetragonal
# uncorrected formation energy: 2.23 eV/f.u.
# volume: 74.22 Å³/cell
# D(E_F): 2.42 states/eV/cell
data_InSi2P
_chemical_formula_sum 'In1 Si2 P1'
_cell_length_a 3.7357
_cell_length_b 3.7357
_cell_length_c 5.3181
_cell_angle_alpha 90.00
_cell_angle_beta 90.00
_cell_angle_gamma 90.00
_space_group_name_H-M_alt 'P 1'
_space_group_IT_number 1
loop_
_space_group_symop_operation_xyz
'x,y,z'
loop_
_atom_site_label
_atom_site_fract_x
_atom_site_fract_y
_atom_site_fract_z
_atom_site_occupancy
In1 0.0000 0.0000 0.0000 1
Si1 0.0000 0.5000 0.5000 1
Si2 0.5000 0.0000 0.5000 1
P1 0.5000 0.5000 0.0000 1

[9]
# PBE-GGA Dy2HoPb9, relaxed
# calculated formation energy: -270 meV per atom
# symmetry: No. 123
# crystal system: tetragonal
# volume: 347.85 Å³/cell
# D(E_F): 6.91 states/eV/cell
data_Dy2HoPb9
_chemical_formula_sum 'Dy2 Ho1 Pb9'
_cell_length_a 4.8761
_cell_length_b 4.8761
_cell_length_c 14.6302
_cell_angle_alpha 90.00
_cell_angle_beta 90.00
_cell_angle_gamma 90.00
_space_group_name_H-M_alt 'P 1'
_space_group_IT_number 1
loop_
_space_group_symop_operation_xyz
'x,y,z'
loop_
_atom_site_label
_atom_site_fract_x
_atom_site_fract_y
_atom_site_fract_z
_atom_site_occupancy
Dy1 0.0000 0.0000 0.1668 1
Dy2 0.0000 0.0000 0.8332 1
Ho1 0.0000 0.0000 0.5000 1
Pb1 0.0000 0.5000 0.0000 1
Pb2 0.0000 0.5000 0.3338 1
Pb3 0.0000 0.5000 0.6662 1
Pb4 0.5000 0.0000 0.0000 1
Pb5 0.5000 0.0000 0.3338 1
Pb6 0.5000 0.0000 0.6662 1
Pb7 0.5000 0.5000 0.1669 1
Pb8 0.5000 0.5000 0.5000 1
Pb9 0.5000 0.5000 0.8331 1

[10]
# PBE-GGA TcP2AuCl, relaxed
# symmetry: No. 123
# crystal system: tetragonal
# uncorrected formation energy: 6.71 eV/f.u.
# volume: 115.28 Å³/cell
# D(E_F): 3.15 states/eV/cell
data_TcP2AuCl
_chemical_formula_sum 'Tc1 P2 Au1 Cl1'
_cell_length_a 4.8371
_cell_length_b 4.8371
_cell_length_c 4.9270
_cell_angle_alpha 90.00
_cell_angle_beta 90.00
_cell_angle_gamma 90.00
_space_group_name_H-M_alt 'P 1'
_space_group_IT_number 1
loop_
_space_group_symop_operation_xyz
'x,y,z'
loop_
_atom_site_label
_atom_site_fract_x
_atom_site_fract_y
_atom_site_fract_z
_atom_site_occupancy
Tc1 0.0000 0.0000 0.0000 1
P1 0.0000 0.5000 0.5000 1
P2 0.5000 0.0000 0.5000 1
Au1 0.5000 0.5000 0.5000 1
Cl1 0.5000 0.5000 0.0000 1

[11]
# PBE-GGA La3Tb2Pm6Ho, relaxed
# calculated formation energy: 20 meV per atom
# symmetry: No. 12
# crystal system: monoclinic
# volume: 413.33 Å³/cell
# D(E_F): 19.87 states/eV/cell
data_La3Tb2Pm6Ho
_chemical_formula_sum 'La3 Tb2 Pm6 Ho1'
_cell_length_a 6.3287
_cell_length_b 6.3287
_cell_length_c 12.1092
_cell_angle_alpha 95.02
_cell_angle_beta 95.02
_cell_angle_gamma 120.05
_space_group_name_H-M_alt 'P 1'
_space_group_IT_number 1
loop_
_space_group_symop_operation_xyz
'x,y,z'
loop_
_atom_site_label
_atom_site_fract_x
_atom_site_fract_y
_atom_site_fract_z
_atom_site_occupancy
La1 0.0000 0.0000 0.0000 1
La2 0.3334 0.6666 0.0000 1
La3 0.6666 0.3334 0.0000 1
Tb1 0.1667 0.8333 0.5000 1
Tb2 0.8333 0.1667 0.5000 1
Pm1 0.0857 0.4187 0.2560 1
Pm2 0.2482 0.2482 0.7441 1
Pm3 0.4187 0.0857 0.2560 1
Pm4 0.5813 0.9143 0.7440 1
Pm5 0.7518 0.7518 0.2559 1
Pm6 0.9143 0.5813 0.7440 1
Ho1 0.5000 0.5000 0.5000 1

[12]
# PBE-GGA NbCuPdRu, relaxed
# calculated formation energy: -135 meV per atom
# symmetry: No. 216
# crystal system: cubic
# volume: 59.82 Å³/cell
# D(E_F): 0.43 states/eV/cell
data_NbCuPdRu
_chemical_formula_sum 'Nb1 Cu1 Pd1 Ru1'
_cell_length_a 4.3899
_cell_length_b 4.3899
_cell_length_c 4.3899
_cell_angle_alpha 60.00
_cell_angle_beta 60.00
_cell_angle_gamma 60.00
_space_group_name_H-M_alt 'P 1'
_space_group_IT_number 1
loop_
_space_group_symop_operation_xyz
'x,y,z'
loop_
_atom_site_label
_atom_site_fract_x
_atom_site_fract_y
_atom_site_fract_z
_atom_site_occupancy
Nb1 0.0000 0.0000 0.0000 1
Cu1 0.5000 0.5000 0.5000 1
Pd1 0.7500 0.7500 0.7500 1
Ru1 0.2500 0.2500 0.2500 1